Crystalline Nb4Ga5Tc at its relaxed geometry. Source: Alexandria, functional GGA-PBE.

Structure (POSCAR):
```
Nb4Ga5Tc
1.0
-4.122 4.122 2.612
4.122 -4.122 2.612
4.122 4.122 -2.612
Nb Ga Tc
4 5 1
Cartesian
5.722 0.760 0.000 Nb
0.760 2.522 0.000 Nb
3.362 1.600 2.612 Nb
-1.600 3.362 2.612 Nb
3.277 1.741 -0.004 Ga
2.381 -0.845 2.609 Ga
1.741 4.967 -0.004 Ga
0.845 2.381 2.609 Ga
0.000 0.000 5.111 Ga
0.000 0.000 2.488 Tc
```

As for the space group: I4 (79). As for the calculated total energy: -6.47 eV per atom.